! PBE-GGA Nb2CrIrN, optimized geometry; values from VASP
&SYSTEM
  ibrav = 0, nat = 5, ntyp = 4
/
ATOMIC_SPECIES
Nb 92.91 Nb.upf
Cr 52.00 Cr.upf
Ir 192.22 Ir.upf
N 14.01 N.upf
ATOMIC_POSITIONS crystal
Nb 0.000 0.500 0.000
Nb 0.500 0.000 0.000
Cr 0.000 0.000 0.500
Ir 0.500 0.500 0.500
N 0.000 0.000 0.000
CELL_PARAMETERS angstrom
4.244 0.000 0.000
0.000 4.244 0.000
0.000 0.000 3.849
! space-group type	P4/mmm
! formation energy (no corrections)	-0.548	eV per atom
! magnetic moment	0.230	μB/atom